! CaMg2Rh (PBE, relaxed); values from VASP
&SYSTEM
  ibrav = 0, nat = 4, ntyp = 3
/
ATOMIC_SPECIES
Ca 40.08 Ca.upf
Mg 24.30 Mg.upf
Rh 102.91 Rh.upf
ATOMIC_POSITIONS crystal
Ca 0.0000 0.0000 0.0000
Mg 0.0000 0.0000 0.5996
Mg 0.5000 0.5000 0.3469
Rh 0.5000 0.5000 0.7568
CELL_PARAMETERS angstrom
3.3830 0.0000 0.0000
0.0000 3.3830 0.0000
0.0000 0.0000 7.6694
! DFT total energy, eV/atom: -3.405
! Energy of formation, eV/atom: -0.27
! Crystal system: tetragonal
! SG: P4mm, No. 99
! ρ, kg/m3: 3625

! Ca4MgRh (PBE, relaxed); values from VASP
&SYSTEM
  ibrav = 0, nat = 6, ntyp = 3
/
ATOMIC_SPECIES
Ca 40.08 Ca.upf
Mg 24.30 Mg.upf
Rh 102.91 Rh.upf
ATOMIC_POSITIONS crystal
Ca 0.3760 0.3760 0.3760
Ca 0.3760 0.3760 0.8721
Ca 0.3760 0.8721 0.3760
Ca 0.8721 0.3760 0.3760
Mg 0.0000 0.0000 0.0000
Rh 0.7500 0.7500 0.7500
CELL_PARAMETERS angstrom
0.0000 4.4980 4.4980
4.4980 0.0000 4.4980
4.4980 4.4980 0.0000
! DFT total energy, eV/atom: -2.255
! Energy of formation, eV/atom: 0.57
! Crystal system: cubic
! Energy above the lowest structure with this stoichiometry, kJ/mol of formula units: 463
! SG: F-43m, No. 216
! ρ, kg/m3: 2623

! CaMg5Rh6 (PBE, relaxed); values from VASP
&SYSTEM
  ibrav = 0, nat = 12, ntyp = 3
/
ATOMIC_SPECIES
Ca 40.08 Ca.upf
Mg 24.30 Mg.upf
Rh 102.91 Rh.upf
ATOMIC_POSITIONS crystal
Ca 0.0000 0.0000 0.0000
Mg 0.1651 0.6651 0.5000
Mg 0.3312 0.3312 0.0000
Mg 0.5000 0.0000 0.5000
Mg 0.6688 0.6688 0.0000
Mg 0.8349 0.3349 0.5000
Rh 0.0873 0.8281 0.2592
Rh 0.2672 0.5000 0.7672
Rh 0.4311 0.1719 0.2592
Rh 0.5689 0.8281 0.7408
Rh 0.7328 0.5000 0.2328
Rh 0.9127 0.1719 0.7408
CELL_PARAMETERS angstrom
-2.2321 3.2000 6.6969
2.2321 -3.2000 6.6969
2.2321 3.2000 -6.6969
! DFT total energy, eV/atom: -4.916
! Energy of formation, eV/atom: -0.41
! Crystal system: orthorhombic
! SG: Immm, No. 71
! ρ, kg/m3: 6761

Total magnetic moment (μB per formula unit)
0.00, 0.00, 0.00